LiHgBi2 | GGA-PBEsol | optimized geometry Values from VASP.

Summary:
The value obtained for the formation energy is -0.113 eV per atom. For the total moment, the calculation gives 0.00 μB/cell. As for the volume: 27.76 Å³ per atom.

Cell and atoms, written as Quantum ESPRESSO input:
```
&SYSTEM
  ibrav = 0, nat = 8, ntyp = 3
/
ATOMIC_SPECIES
Li 6.94 Li.upf
Bi 208.98 Bi.upf
Hg 200.59 Hg.upf
ATOMIC_POSITIONS crystal
Li 0.7500 0.2500 0.5000
Li 0.5000 0.5000 0.0000
Bi 0.3923 0.8750 0.2500
Bi 0.8577 0.3750 0.2500
Bi 0.1250 0.1423 0.7500
Bi 0.6250 0.6077 0.7500
Hg 0.2500 0.7500 0.5000
Hg 0.0000 0.0000 0.0000
CELL_PARAMETERS angstrom
4.5876 0.0000 0.0000
0.0000 4.5876 0.0000
-2.2938 -2.2938 10.5511
```

---

Mg2Hg2Bi | GGA-PBEsol | optimized geometry Values from VASP.

Summary:
The value obtained for the formation energy is -0.199 eV per atom. For the total moment, the calculation gives 0.00 μB/cell. As for the volume: 22.88 Å³ per atom.

Cell and atoms, written as Quantum ESPRESSO input:
```
&SYSTEM
  ibrav = 0, nat = 10, ntyp = 3
/
ATOMIC_SPECIES
Mg 24.30 Mg.upf
Bi 208.98 Bi.upf
Hg 200.59 Hg.upf
ATOMIC_POSITIONS crystal
Mg 0.5000 0.1667 0.6667
Mg 0.5000 0.6667 0.8333
Mg 0.5000 0.8333 0.3333
Mg 0.5000 0.3333 0.1667
Bi 0.0000 0.0000 0.0000
Bi 0.0000 0.5000 0.5000
Hg 0.0000 0.3699 0.8699
Hg 0.0000 0.8699 0.6301
Hg 0.0000 0.6301 0.1301
Hg 0.0000 0.1301 0.3699
CELL_PARAMETERS angstrom
3.4034 0.0000 0.0000
0.0000 8.1992 0.0000
0.0000 0.0000 8.1992
```

---

MnHgBiPb2 | GGA-PBEsol | optimized geometry Values from VASP.

Summary:
The value obtained for the formation energy is 1.138 eV per atom. For the total moment, the calculation gives 4.60 μB/cell. As for the volume: 39.05 Å³ per atom.

Cell and atoms, written as Quantum ESPRESSO input:
```
&SYSTEM
  ibrav = 0, nat = 5, ntyp = 4
/
ATOMIC_SPECIES
Pb 207.20 Pb.upf
Mn 54.94 Mn.upf
Bi 208.98 Bi.upf
Hg 200.59 Hg.upf
ATOMIC_POSITIONS crystal
Pb 0.0000 0.0000 0.5000
Pb 0.0000 0.5000 0.0000
Mn 0.5000 0.5000 0.5000
Bi 0.0000 0.0000 0.0000
Hg 0.5000 0.0000 0.0000
CELL_PARAMETERS angstrom
-3.4882 3.7658 1.8898
-3.5668 -4.3324 2.0496
2.9079 0.0747 5.2183
```

---

Hg3BiMo | GGA-PBEsol | optimized geometry Values from VASP.

Summary:
The value obtained for the formation energy is 1.420 eV per atom. For the total moment, the calculation gives 5.51 μB/cell. As for the volume: 36.53 Å³ per atom.

Cell and atoms, written as Quantum ESPRESSO input:
```
&SYSTEM
  ibrav = 0, nat = 5, ntyp = 3
/
ATOMIC_SPECIES
Mo 95.94 Mo.upf
Bi 208.98 Bi.upf
Hg 200.59 Hg.upf
ATOMIC_POSITIONS crystal
Mo 0.5000 0.5000 0.5000
Bi 0.0000 0.0000 0.0000
Hg 0.0000 0.5000 0.0000
Hg 0.0000 0.0000 0.5000
Hg 0.5000 0.0000 0.0000
CELL_PARAMETERS angstrom
5.6736 0.0000 0.0000
0.0000 5.6736 0.0000
0.0000 0.0000 5.6736
```

---

NaHgBi2Mo | GGA-PBEsol | optimized geometry Values from VASP.

Summary:
The value obtained for the formation energy is 0.321 eV per atom. For the total moment, the calculation gives 0.00 μB/cell. As for the volume: 30.61 Å³ per atom.

Cell and atoms, written as Quantum ESPRESSO input:
```
&SYSTEM
  ibrav = 0, nat = 5, ntyp = 4
/
ATOMIC_SPECIES
Na 22.99 Na.upf
Mo 95.94 Mo.upf
Bi 208.98 Bi.upf
Hg 200.59 Hg.upf
ATOMIC_POSITIONS crystal
Na 0.5000 0.5000 0.5000
Mo 0.0000 0.0000 0.0000
Bi 0.0000 0.5000 0.0000
Bi 0.5000 0.0000 0.0000
Hg 0.0000 0.0000 0.5000
CELL_PARAMETERS angstrom
-2.8475 -4.1878 -1.5798
3.5593 -0.9833 -3.8088
2.7822 -3.1825 3.4216
```

---

HgBiMo2Pd | GGA-PBEsol | optimized geometry Values from VASP.

Summary:
The value obtained for the formation energy is 1.665 eV per atom. For the total moment, the calculation gives 4.82 μB/cell. As for the volume: 24.17 Å³ per atom.

Cell and atoms, written as Quantum ESPRESSO input:
```
&SYSTEM
  ibrav = 0, nat = 5, ntyp = 4
/
ATOMIC_SPECIES
Mo 95.94 Mo.upf
Bi 208.98 Bi.upf
Pd 106.42 Pd.upf
Hg 200.59 Hg.upf
ATOMIC_POSITIONS crystal
Mo 0.0000 0.5000 0.0000
Mo 0.5000 0.0000 0.0000
Bi 0.0000 0.0000 0.5000
Pd 0.0000 0.0000 0.0000
Hg 0.5000 0.5000 0.5000
CELL_PARAMETERS angstrom
-4.7547 0.9322 -0.6812
-0.9484 -4.7998 0.0515
-0.6793 0.1879 4.9992
```

---

HgBi2MoS | GGA-PBEsol | optimized geometry Values from VASP.

Summary:
For the total moment, the calculation gives 0.71 μB/cell. The value obtained for the formation energy from raw total energies is 742.9 meV per atom. As for the volume: 28.56 Å³ per atom.

Cell and atoms, written as Quantum ESPRESSO input:
```
&SYSTEM
  ibrav = 0, nat = 5, ntyp = 4
/
ATOMIC_SPECIES
S 32.06 S.upf
Mo 95.94 Mo.upf
Bi 208.98 Bi.upf
Hg 200.59 Hg.upf
ATOMIC_POSITIONS crystal
S 0.5000 0.5000 0.5000
Mo 0.0000 0.0000 0.0000
Bi 0.0000 0.5000 0.0000
Bi 0.5000 0.0000 0.0000
Hg 0.0000 0.0000 0.5000
CELL_PARAMETERS angstrom
5.2446 0.0000 0.0000
0.0000 5.2446 0.0000
0.0000 0.0000 5.1918
```

---

Na2Hg2Bi | GGA-PBEsol | optimized geometry Values from VASP.

Summary:
The value obtained for the formation energy is -0.227 eV per atom. For the total moment, the calculation gives 0.00 μB/cell. As for the volume: 24.99 Å³ per atom.

Cell and atoms, written as Quantum ESPRESSO input:
```
&SYSTEM
  ibrav = 0, nat = 10, ntyp = 3
/
ATOMIC_SPECIES
Na 22.99 Na.upf
Bi 208.98 Bi.upf
Hg 200.59 Hg.upf
ATOMIC_POSITIONS crystal
Na 0.5000 0.1751 0.6751
Na 0.5000 0.6751 0.8249
Na 0.5000 0.8249 0.3249
Na 0.5000 0.3249 0.1751
Bi 0.0000 0.0000 0.0000
Bi 0.0000 0.5000 0.5000
Hg 0.0000 0.3779 0.8779
Hg 0.0000 0.8779 0.6221
Hg 0.0000 0.6221 0.1221
Hg 0.0000 0.1221 0.3779
CELL_PARAMETERS angstrom
-2.1032 0.2802 2.6715
-4.3362 -6.8707 -2.6929
5.1591 -5.0557 4.5918
```